1.
# LaFeH3, optimized geometry, DFT PBE
data_LaFeH3
_chemical_formula_sum 'La1 Fe1 H3'
_space_group_name_H-M_alt 'P m -3 m'
_space_group_IT_number 221
_space_group_name_Hall '-P 4 2 3'
_cell_length_a 3.703
_cell_length_b 3.703
_cell_length_c 3.703
_cell_angle_alpha 90.00
_cell_angle_beta 90.00
_cell_angle_gamma 90.00
loop_
_atom_site_label
_atom_site_type_symbol
_atom_site_fract_x
_atom_site_fract_y
_atom_site_fract_z
La1 La 0.000 0.000 0.000
Fe1 Fe 0.500 0.500 0.500
H1 H 0.000 0.500 0.500
# Total magnetic moment = 1.96 μB per cell
# E_tot = -0.1845 Ha/atom

=====

2.
# NaSm5Zn4, optimized geometry, DFT PBE
data_NaSm5Zn4
_chemical_formula_sum 'Na1 Sm5 Zn4'
_space_group_name_H-M_alt 'P 4/m m m'
_space_group_IT_number 123
_space_group_name_Hall '-P 4 2'
_cell_length_a 3.650
_cell_length_b 3.650
_cell_length_c 19.765
_cell_angle_alpha 90.00
_cell_angle_beta 90.00
_cell_angle_gamma 90.00
loop_
_atom_site_label
_atom_site_type_symbol
_atom_site_fract_x
_atom_site_fract_y
_atom_site_fract_z
Na1 Na 0.000 0.000 0.000
Sm1 Sm 0.500 0.500 0.138
Sm2 Sm 0.500 0.500 0.317
Sm3 Sm 0.500 0.500 0.500
Zn1 Zn 0.000 0.000 0.223
Zn2 Zn 0.000 0.000 0.407
# Total magnetic moment = 0.00 μB per cell
# Energy of formation = -206 meV per atom

=====

3.
# Ba2YHoSe4, optimized geometry, DFT PBE
data_Ba2YHoSe4
_chemical_formula_sum 'Ba2 Y1 Ho1 Se4'
_space_group_name_H-M_alt 'P 1 2/m 1'
_space_group_IT_number 10
_space_group_name_Hall '-P 2y'
_cell_length_a 7.405
_cell_length_b 4.288
_cell_length_c 7.790
_cell_angle_alpha 90.00
_cell_angle_beta 108.59
_cell_angle_gamma 90.00
loop_
_atom_site_label
_atom_site_type_symbol
_atom_site_fract_x
_atom_site_fract_y
_atom_site_fract_z
Ba1 Ba 0.000 0.000 0.000
Ba2 Ba 0.500 0.500 0.000
Y1 Y 0.000 0.500 0.500
Ho1 Ho 0.500 0.000 0.500
Se1 Se 0.239 0.000 0.712
Se2 Se 0.264 0.500 0.289
# Total magnetic moment = 0.00 μB per cell
# Uncorrected formation energy = -1877 meV/atom

=====

4.
# CdGa2As2, optimized geometry, DFT PBE
data_CdGa2As2
_chemical_formula_sum 'Cd2 Ga4 As4'
_space_group_name_H-M_alt 'I 4/m m m'
_space_group_IT_number 139
_space_group_name_Hall '-I 4 2'
_cell_length_a 4.716
_cell_length_b 4.716
_cell_length_c 9.807
_cell_angle_alpha 90.00
_cell_angle_beta 90.00
_cell_angle_gamma 90.00
loop_
_atom_site_label
_atom_site_type_symbol
_atom_site_fract_x
_atom_site_fract_y
_atom_site_fract_z
Cd1 Cd 0.000 0.000 0.000
Ga1 Ga 0.000 0.000 0.374
As1 As 0.000 0.500 0.250
# Total magnetic moment = 0.00 μB per cell
# Energy of formation = 91 meV per atom

=====

5.
# Cs2RbH, optimized geometry, DFT PBE
data_Cs2RbH
_chemical_formula_sum 'Cs6 Rb3 H3'
_space_group_name_H-M_alt 'R -3 m'
_space_group_IT_number 166
_space_group_name_Hall '-R 3 2"'
_cell_length_a 4.7447
_cell_length_b 4.7447
_cell_length_c 38.6176
_cell_angle_alpha 90.00
_cell_angle_beta 90.00
_cell_angle_gamma 120.00
loop_
_atom_site_label
_atom_site_type_symbol
_atom_site_fract_x
_atom_site_fract_y
_atom_site_fract_z
Cs1 Cs 0.0000 0.0000 0.1204
Rb1 Rb 0.0000 0.0000 0.0000
H1 H 0.0000 0.0000 0.5000
# Total magnetic moment = 0.00 μB per cell
# E_tot = -0.0560 Ha/atom

=====

6.
# HfTc2Br, optimized geometry, DFT PBE
data_HfTc2Br
_chemical_formula_sum 'Hf4 Tc8 Br4'
_space_group_name_H-M_alt 'I -4 2 d'
_space_group_IT_number 122
_space_group_name_Hall 'I -4 2bw'
_cell_length_a 7.414
_cell_length_b 7.414
_cell_length_c 5.327
_cell_angle_alpha 90.00
_cell_angle_beta 90.00
_cell_angle_gamma 90.00
loop_
_atom_site_label
_atom_site_type_symbol
_atom_site_fract_x
_atom_site_fract_y
_atom_site_fract_z
Hf1 Hf 0.000 0.000 0.000
Tc1 Tc 0.186 0.750 0.625
Br1 Br 0.000 0.000 0.500
# Total magnetic moment = 0.00 μB per cell
# Uncorrected formation energy = 854 meV/atom

=====

7.
# NaAl3C, optimized geometry, DFT PBE
data_NaAl3C
_chemical_formula_sum 'Na1 Al3 C1'
_space_group_name_H-M_alt 'P m -3 m'
_space_group_IT_number 221
_space_group_name_Hall '-P 4 2 3'
_cell_length_a 4.304
_cell_length_b 4.304
_cell_length_c 4.304
_cell_angle_alpha 90.00
_cell_angle_beta 90.00
_cell_angle_gamma 90.00
loop_
_atom_site_label
_atom_site_type_symbol
_atom_site_fract_x
_atom_site_fract_y
_atom_site_fract_z
Na1 Na 0.000 0.000 0.000
Al1 Al 0.000 0.500 0.500
C1 C 0.500 0.500 0.500
# Total magnetic moment = 0.00 μB per cell
# Energy of formation = 561 meV per atom

=====

8.
# YFeHg2, optimized geometry, DFT PBE
data_YFeHg2
_chemical_formula_sum 'Y1 Fe1 Hg2'
_space_group_name_H-M_alt 'P 1 2/m 1'
_space_group_IT_number 10
_space_group_name_Hall '-P 2y'
_cell_length_a 3.514
_cell_length_b 3.543
_cell_length_c 6.800
_cell_angle_alpha 90.00
_cell_angle_beta 90.08
_cell_angle_gamma 90.00
loop_
_atom_site_label
_atom_site_type_symbol
_atom_site_fract_x
_atom_site_fract_y
_atom_site_fract_z
Y1 Y 0.000 0.000 0.000
Fe1 Fe 0.000 0.000 0.500
Hg1 Hg 0.498 0.500 0.716
# Total magnetic moment = 2.35 μB per cell
# Energy of formation = 40 meV per atom

=====

9.
# Er2GaFeCo6, optimized geometry, DFT PBE
data_Er2GaFeCo6
_chemical_formula_sum 'Er8 Ga4 Fe4 Co24'
_space_group_name_H-M_alt 'F m -3 m'
_space_group_IT_number 225
_space_group_name_Hall '-F 4 2 3'
_cell_length_a 8.710
_cell_length_b 8.710
_cell_length_c 8.710
_cell_angle_alpha 90.00
_cell_angle_beta 90.00
_cell_angle_gamma 90.00
loop_
_atom_site_label
_atom_site_type_symbol
_atom_site_fract_x
_atom_site_fract_y
_atom_site_fract_z
Er1 Er 0.250 0.250 0.250
Ga1 Ga 0.000 0.000 0.000
Fe1 Fe 0.000 0.000 0.500
Co1 Co 0.000 0.000 0.255
# Total magnetic moment = 35.35 μB per cell
# Energy of formation = 380 meV per atom

=====

10.
# HfNb3Ru, optimized geometry, DFT PBE
data_HfNb3Ru
_chemical_formula_sum 'Hf1 Nb3 Ru1'
_space_group_name_H-M_alt 'P m -3 m'
_space_group_IT_number 221
_space_group_name_Hall '-P 4 2 3'
_cell_length_a 4.816
_cell_length_b 4.816
_cell_length_c 4.816
_cell_angle_alpha 90.00
_cell_angle_beta 90.00
_cell_angle_gamma 90.00
loop_
_atom_site_label
_atom_site_type_symbol
_atom_site_fract_x
_atom_site_fract_y
_atom_site_fract_z
Hf1 Hf 0.000 0.000 0.000
Nb1 Nb 0.000 0.000 0.500
Ru1 Ru 0.500 0.500 0.500
# Total magnetic moment = 0.00 μB per cell
# Energy of formation = 1974 meV per atom

=====

11.
# Tb3Ce2NdAs6, optimized geometry, DFT PBE
data_Tb3Ce2NdAs6
_chemical_formula_sum 'Tb6 Ce4 Nd2 As12'
_space_group_name_H-M_alt 'C 1 2/m 1'
_space_group_IT_number 12
_space_group_name_Hall '-C 2y'
_cell_length_a 7.255
_cell_length_b 12.565
_cell_length_c 7.242
_cell_angle_alpha 90.00
_cell_angle_beta 109.50
_cell_angle_gamma 90.00
loop_
_atom_site_label
_atom_site_type_symbol
_atom_site_fract_x
_atom_site_fract_y
_atom_site_fract_z
Tb1 Tb 0.000 0.000 0.000
Tb2 Tb 0.000 0.334 0.000
Ce1 Ce 0.000 0.167 0.500
Nd1 Nd 0.000 0.500 0.500
As1 As 0.247 0.169 0.246
As2 As 0.248 0.000 0.755
# Total magnetic moment = 2.38 μB per cell
# Energy of formation = -1502 meV per atom

=====

12.
# InNi4Pb, optimized geometry, DFT PBE
data_InNi4Pb
_chemical_formula_sum 'In4 Ni16 Pb4'
_space_group_name_H-M_alt 'F -4 3 m'
_space_group_IT_number 216
_space_group_name_Hall 'F -4 2 3'
_cell_length_a 7.093
_cell_length_b 7.093
_cell_length_c 7.093
_cell_angle_alpha 90.00
_cell_angle_beta 90.00
_cell_angle_gamma 90.00
loop_
_atom_site_label
_atom_site_type_symbol
_atom_site_fract_x
_atom_site_fract_y
_atom_site_fract_z
In1 In 0.000 0.000 0.000
Ni1 Ni 0.125 0.125 0.625
Pb1 Pb 0.250 0.250 0.250
# Total magnetic moment = 0.00 μB per cell
# Energy of formation = 100 meV per atom